Entry A
Ce4FeOs | PBE-GGA | relaxed

Cell: 7.5884 7.5884 7.5884 Å, 106.85 106.85 114.86°
Last column: magnetic moment on the atom in μB.
Positions (direct):
Ce  0.2592  0.9544  0.6952  0.45
Ce  0.7296  0.4174  0.6878  0.35
Ce  0.7044  0.5092  0.1952  0.45
Ce  0.1674  0.9796  0.1878  0.35
Ce  0.3139  0.5092  0.8048  0.45
Ce  0.7919  0.9796  0.8122  0.35
Ce  0.7296  0.0419  0.3122  0.35
Ce  0.2592  0.5639  0.3048  0.45
Fe  0.7696  0.7696  0.0000  -0.18
Fe  0.5196  0.0196  0.5000  -0.18
Os  0.2528  0.2528  0.0000  -0.06
Os  0.0028  0.5028  0.5000  -0.06

Calculated values
The space-group type is I4_1md. The crystal system is tetragonal.

***

Entry B
Ce4FeOs | PBE-GGA | relaxed

Cell: 5.8379 7.1203 7.1203 Å, 108.69 97.10 97.10°
Positions (direct):
Ce  0.9151  0.5968  0.7715
Ce  0.0320  0.9427  0.2861
Ce  0.5849  0.2285  0.4032
Ce  0.4680  0.7139  0.0573
Ce  0.5320  0.2861  0.9427
Ce  0.4151  0.7715  0.5968
Ce  0.9680  0.0573  0.7139
Ce  0.0849  0.4032  0.2285
Fe  0.2500  0.0057  0.9943
Fe  0.7500  0.9943  0.0057
Os  0.7500  0.6243  0.3757
Os  0.2500  0.3757  0.6243

Calculated values
The space-group type is C2/c. The crystal system is monoclinic.

***

Q: Which of them is the most stable? A: entry B.

***

Entry A
CePa2Fe | PBE-GGA | relaxed

Cell: 3.4419 3.4419 7.3401 Å, 90.00 90.00 90.00°
Positions (direct):
Pa  0.0000  0.0000  0.8052
Pa  0.0000  0.0000  0.1948
Fe  0.5000  0.5000  0.0000
Ce  0.5000  0.5000  0.5000

Calculated values
The space-group type is P4/mmm. The crystal system is tetragonal.

***

Entry B
CePa2Fe | PBE-GGA | relaxed

Cell: 3.8044 3.8044 7.6575 Å, 75.62 75.62 60.00°
Positions (direct):
Ce  0.5095  0.5095  0.4716
Pa  0.0621  0.0621  0.8137
Pa  0.2677  0.2677  0.1968
Fe  0.6607  0.6607  0.0179

Calculated values
The space-group type is R3m. The crystal system is trigonal.

***

Q: Which of them is the most stable? A: entry A.

***

Entry A
Ce2PaFe | PBE-GGA | relaxed

Cell: 4.7830 3.3828 7.9503 Å, 83.91 85.35 44.71°
Positions (direct):
Ce  0.8805  0.0238  0.5557
Ce  0.3819  0.0492  0.2430
Pa  0.3736  0.9515  0.8376
Fe  0.8746  0.9726  0.9745

Calculated values
The space-group type is P1. The crystal system is triclinic.

***

Entry B
Ce2PaFe | PBE-GGA | relaxed

Cell: 3.0927 3.0927 10.5269 Å, 81.55 81.55 60.00°
Last column: magnetic moment on the atom in μB.
Positions (direct):
Pa  0.0000  0.0000  0.0000  -0.13
Fe  0.5000  0.5000  0.5000  1.62
Ce  0.0967  0.0967  0.7098  -0.30
Ce  0.9033  0.9033  0.2902  -0.30

Calculated values
The space-group type is R-3m. The crystal system is trigonal.

***

Q: Which of them is the most stable? A: entry A.